Record 1
Computed, not measured: crystalline DyP5 at its relaxed geometry at the PBE level of DFT.

## Properties
V = 20.4 Å³/atom
electronic total energy = -5.81 eV/atom
formation energy from the elements = -534.6 meV/atom

Cell lengths 4.9515, 9.4266, 5.3578 Å; angles 90.00, 102.23, 90.00 degrees
Sites, in units of the cell vectors:
Dy1 0.0041 0.2500 0.3467
Dy2 0.9959 0.7500 0.6533
P1 0.2757 0.2500 0.8930
P2 0.2856 0.5287 0.4049
P3 0.2856 0.9713 0.4049
P4 0.3838 0.5926 0.0446
P5 0.3838 0.9074 0.0446
P6 0.6162 0.0926 0.9554
P7 0.6162 0.4074 0.9554
P8 0.7144 0.0287 0.5951
P9 0.7144 0.4713 0.5951
P10 0.7243 0.7500 0.1070

---

Record 2
Computed, not measured: crystalline DyP4 at its relaxed geometry at the PBE level of DFT.

## Properties
V = 28.4 Å³/atom
electronic total energy = -4.02 eV/atom
formation energy from the elements = 1225.4 meV/atom

Cell lengths 5.2180, 5.2180, 5.2180 Å; angles 90.00, 90.00, 90.00 degrees
Sites, in units of the cell vectors:
Dy1 0.0000 0.0000 0.0000
P1 0.0000 0.0000 0.5000
P2 0.0000 0.5000 0.0000
P3 0.5000 0.0000 0.0000
P4 0.5000 0.5000 0.5000